(1)
The following is a PBE calculation of crystalline Na4SmO3 at its relaxed geometry, from OQMD via LeMat-Bulk.

Results
**Crystal system**: monoclinic
**VASP energy**: -75.60 eV per cell

Unit cell a=9.214 b=9.214 c=5.981 alpha=96.19 beta=96.19 gamma=142.38
Element x y z (fractional)
Na 0.405 0.675 0.194
Na 0.950 0.036 0.223
Na 0.752 0.258 0.242
Na 0.534 0.474 0.244
Na 0.675 0.405 0.694
Na 0.036 0.950 0.723
Na 0.258 0.752 0.742
Na 0.474 0.534 0.744
O 0.301 0.185 0.465
O 0.945 0.618 0.484
O 0.698 0.818 0.499
O 0.185 0.301 0.965
O 0.618 0.945 0.984
O 0.818 0.698 0.999
Sm 0.119 0.845 0.256
Sm 0.845 0.119 0.756


(2)
The following is a PBE calculation of crystalline NaSm2O4 at its relaxed geometry, from OQMD via LeMat-Bulk.

Results
**Crystal system**: cubic
**VASP energy**: -97.11 eV per cell

Unit cell a=7.005 b=7.005 c=7.005 alpha=119.99 beta=90.01 gamma=119.99
Site moments in Bohr magnetons follow the coordinates.
Element x y z (fractional)
Na 0.000 0.000 0.000  0.00
Na 0.750 0.500 0.250  0.00
O 0.172 0.781 0.391  0.21
O 0.609 0.219 0.391  0.22
O 0.609 0.781 0.391  0.20
O 0.141 0.281 0.422  0.22
O 0.609 0.219 0.828  0.22
O 0.141 0.719 0.859  0.20
O 0.141 0.281 0.859  0.22
O 0.578 0.719 0.859  0.21
Sm 0.375 0.750 0.125  -0.02
Sm 0.875 0.250 0.625  -0.02
Sm 0.375 0.250 0.625  -0.02
Sm 0.375 0.750 0.625  -0.02


(3)
The following is a PBE calculation of crystalline NaSmSnO4 at its relaxed geometry, from OQMD via LeMat-Bulk.

Results
**Crystal system**: tetragonal
**VASP energy**: -90.61 eV per cell

Unit cell a=3.745 b=3.745 c=13.806 alpha=90.00 beta=90.00 gamma=90.00
Element x y z (fractional)
Na 0.000 0.500 0.430
Na 0.500 0.000 0.570
O 0.500 0.000 0.064
O 0.000 0.000 0.215
O 0.500 0.500 0.215
O 0.500 0.000 0.410
O 0.000 0.500 0.590
O 0.000 0.000 0.785
O 0.500 0.500 0.785
O 0.000 0.500 0.936
Sm 0.000 0.500 0.099
Sm 0.500 0.000 0.901
Sn 0.500 0.000 0.269
Sn 0.000 0.500 0.731


(4)
The following is a PBE calculation of crystalline NaSmZnO3 at its relaxed geometry, from OQMD via LeMat-Bulk.

Results
**Crystal system**: orthorhombic
**VASP energy**: -69.21 eV per cell

Unit cell a=3.518 b=5.438 c=9.578 alpha=90.00 beta=90.00 gamma=71.12
Element x y z (fractional)
Na 0.268 0.465 0.250
Na 0.732 0.535 0.750
O 0.631 0.738 0.074
O 0.937 0.126 0.250
O 0.631 0.738 0.426
O 0.369 0.262 0.574
O 0.063 0.874 0.750
O 0.369 0.262 0.926
Sm 0.000 0.000 0.000
Sm 0.000 0.000 0.500
Zn 0.545 0.910 0.250
Zn 0.455 0.090 0.750


(5)
The following is a PBE calculation of crystalline Na4TaO4 at its relaxed geometry, from OQMD via LeMat-Bulk.

Results
**Crystal system**: triclinic
**VASP energy**: -108.40 eV per cell

Unit cell a=5.847 b=5.892 c=8.978 alpha=83.56 beta=71.09 gamma=69.71
Element x y z (fractional)
Na 0.264 0.231 0.006
Na 0.121 0.720 0.197
Na 0.549 0.763 0.396
Na 0.036 0.250 0.429
Na 0.964 0.750 0.571
Na 0.451 0.237 0.604
Na 0.879 0.280 0.803
Na 0.736 0.769 0.994
O 0.656 0.179 0.045
O 0.863 0.469 0.197
O 0.795 0.023 0.364
O 0.332 0.471 0.369
O 0.668 0.529 0.631
O 0.205 0.977 0.636
O 0.137 0.531 0.803
O 0.344 0.821 0.955
Ta 0.651 0.275 0.237
Ta 0.349 0.725 0.763


(6)
The following is a PBE calculation of crystalline NaTa2O4 at its relaxed geometry, from OQMD via LeMat-Bulk.

Results
**Crystal system**: cubic
**VASP energy**: -119.40 eV per cell

Unit cell a=6.286 b=6.286 c=6.286 alpha=119.99 beta=90.01 gamma=119.99
Element x y z (fractional)
Na 0.000 0.000 0.000
Na 0.750 0.500 0.250
O 0.612 0.224 0.388
O 0.164 0.776 0.388
O 0.612 0.776 0.388
O 0.138 0.276 0.414
O 0.612 0.224 0.836
O 0.138 0.724 0.862
O 0.586 0.724 0.862
O 0.138 0.276 0.862
Ta 0.375 0.750 0.125
Ta 0.875 0.250 0.625
Ta 0.375 0.250 0.625
Ta 0.375 0.750 0.625


(7)
The following is a PBE calculation of crystalline NaY2TaO6 at its relaxed geometry, from OQMD via LeMat-Bulk.

Results
**Crystal system**: monoclinic
**VASP energy**: -172.97 eV per cell

Unit cell a=5.443 b=5.776 c=9.554 alpha=90.00 beta=122.66 gamma=90.00
Element x y z (fractional)
Na 0.000 0.500 0.000
Na 0.000 0.000 0.500
O 0.853 0.177 0.058
O 0.758 0.718 0.092
O 0.577 0.077 0.225
O 0.423 0.577 0.275
O 0.242 0.218 0.408
O 0.147 0.677 0.442
O 0.853 0.323 0.558
O 0.758 0.782 0.592
O 0.577 0.423 0.725
O 0.423 0.923 0.775
O 0.242 0.282 0.908
O 0.147 0.823 0.942
Ta 0.500 0.000 0.000
Ta 0.500 0.500 0.500
Y 0.212 0.934 0.239
Y 0.788 0.434 0.261
Y 0.212 0.566 0.739
Y 0.788 0.066 0.761


(8)
The following is a PBE calculation of crystalline NaTbO3 at its relaxed geometry, from OQMD via LeMat-Bulk.

Results
**Crystal system**: tetragonal
**VASP energy**: -29.56 eV per cell

Unit cell a=4.283 b=4.283 c=4.506 alpha=90.00 beta=90.00 gamma=90.00
Site moments in Bohr magnetons follow the coordinates.
Element x y z (fractional)
Na 0.000 0.000 0.933  0.00
O 0.500 0.500 0.064  0.68
O 0.500 0.000 0.671  0.53
O 0.000 0.500 0.671  0.47
Tb 0.500 0.500 0.562  0.02


(9)
The following is a PBE calculation of crystalline NaTb2O4 at its relaxed geometry, from OQMD via LeMat-Bulk.

Results
**Crystal system**: cubic
**VASP energy**: -98.24 eV per cell

Unit cell a=6.868 b=6.868 c=6.868 alpha=119.99 beta=90.01 gamma=119.99
Site moments in Bohr magnetons follow the coordinates.
Element x y z (fractional)
Na 0.000 0.000 0.000  0.00
Na 0.750 0.500 0.250  0.00
O 0.609 0.217 0.391  0.23
O 0.174 0.783 0.391  0.20
O 0.609 0.783 0.391  0.20
O 0.141 0.283 0.424  0.22
O 0.609 0.217 0.826  0.22
O 0.141 0.717 0.859  0.20
O 0.141 0.283 0.859  0.23
O 0.576 0.717 0.859  0.20
Tb 0.375 0.750 0.125  -0.01
Tb 0.375 0.250 0.625  -0.02
Tb 0.875 0.250 0.625  -0.02
Tb 0.375 0.750 0.625  -0.01


(10)
The following is a PBE calculation of crystalline NaTbO3 at its relaxed geometry, from OQMD via LeMat-Bulk.

Results
**Crystal system**: orthorhombic
**VASP energy**: -123.64 eV per cell

Unit cell a=6.023 b=6.163 c=7.084 alpha=90.00 beta=90.00 gamma=90.00
Element x y z (fractional)
Na 0.010 0.051 0.250
Na 0.490 0.551 0.250
Na 0.510 0.449 0.750
Na 0.990 0.949 0.750
O 0.714 0.275 0.142
O 0.786 0.775 0.142
O 0.173 0.382 0.250
O 0.327 0.882 0.250
O 0.714 0.275 0.358
O 0.786 0.775 0.358
O 0.214 0.225 0.642
O 0.286 0.725 0.642
O 0.673 0.118 0.750
O 0.827 0.618 0.750
O 0.214 0.225 0.858
O 0.286 0.725 0.858
Tb 0.500 0.000 0.000
Tb 0.000 0.500 0.000
Tb 0.500 0.000 0.500
Tb 0.000 0.500 0.500


(11)
The following is a PBE calculation of crystalline NaTbO3 at its relaxed geometry, from OQMD via LeMat-Bulk.

Results
**Crystal system**: trigonal
**VASP energy**: -59.44 eV per cell

Unit cell a=5.887 b=5.887 c=5.887 alpha=61.51 beta=61.51 gamma=61.51
Element x y z (fractional)
Na 0.250 0.250 0.250
Na 0.750 0.750 0.750
O 0.750 0.372 0.128
O 0.628 0.872 0.250
O 0.128 0.750 0.372
O 0.872 0.250 0.628
O 0.372 0.128 0.750
O 0.250 0.628 0.872
Tb 0.000 0.000 0.000
Tb 0.500 0.500 0.500


(12)
The following is a PBE calculation of crystalline Na4TbO4 at its relaxed geometry, from OQMD via LeMat-Bulk.

Results
**Crystal system**: triclinic
**VASP energy**: -90.58 eV per cell

Unit cell a=5.918 b=5.928 c=8.928 alpha=83.37 beta=71.40 gamma=69.67
Site moments in Bohr magnetons follow the coordinates.
Element x y z (fractional)
Na 0.248 0.252 0.005  0.00
Na 0.113 0.727 0.215  0.00
Na 0.562 0.747 0.407  0.00
Na 0.024 0.261 0.433  0.00
Na 0.976 0.739 0.567  0.00
Na 0.438 0.253 0.593  0.00
Na 0.887 0.273 0.785  0.00
Na 0.752 0.748 0.995  0.00
O 0.651 0.150 0.010  0.31
O 0.893 0.492 0.190  0.19
O 0.316 0.487 0.381  0.17
O 0.794 0.009 0.389  0.15
O 0.206 0.991 0.611  0.15
O 0.684 0.513 0.619  0.17
O 0.107 0.508 0.810  0.19
O 0.349 0.850 0.990  0.31
Tb 0.661 0.272 0.225  0.04
Tb 0.339 0.728 0.775  0.04


(13)
The following is a PBE calculation of crystalline NaTbO3 at its relaxed geometry, from OQMD via LeMat-Bulk.

Results
**Crystal system**: trigonal
**VASP energy**: -59.34 eV per cell

Unit cell a=5.863 b=5.863 c=6.063 alpha=61.08 beta=61.08 gamma=60.00
Site moments in Bohr magnetons follow the coordinates.
Element x y z (fractional)
Na 0.638 0.638 0.086  0.00
Na 0.362 0.362 0.914  0.00
O 0.968 0.530 0.267  0.59
O 0.234 0.968 0.267  0.54
O 0.530 0.234 0.267  0.54
O 0.470 0.766 0.733  0.54
O 0.766 0.032 0.733  0.54
O 0.032 0.470 0.733  0.59
Tb 0.858 0.858 0.425  0.02
Tb 0.142 0.142 0.575  0.02


(14)
The following is a PBE calculation of crystalline NaTbTeO at its relaxed geometry, from OQMD via LeMat-Bulk.

Results
**Crystal system**: orthorhombic
**Offset from the most stable computed form**: 65 kJ/mol of formula units

Unit cell a=4.552 b=7.781 c=6.561 alpha=90.00 beta=90.00 gamma=90.00
Element x y z (fractional)
Na 0.000 0.275 0.130
Na 0.000 0.725 0.630
O 0.500 0.113 0.188
O 0.500 0.887 0.688
Tb 0.500 0.885 0.012
Tb 0.500 0.115 0.512
Te 0.000 0.678 0.161
Te 0.000 0.322 0.661


(15)
The following is a PBE calculation of crystalline NaTbTeO at its relaxed geometry, from OQMD via LeMat-Bulk.

Results
**Crystal system**: tetragonal
**Offset from the most stable computed form**: 0 kJ/mol of formula units

Unit cell a=4.130 b=4.130 c=10.152 alpha=90.00 beta=90.00 gamma=90.00
Element x y z (fractional)
Na 0.750 0.250 0.500
Na 0.250 0.750 0.500
O 0.750 0.250 0.000
O 0.250 0.750 0.000
Tb 0.250 0.250 0.101
Tb 0.750 0.750 0.899
Te 0.750 0.750 0.284
Te 0.250 0.250 0.716


(16)
The following is a PBE calculation of crystalline NaTbTeO at its relaxed geometry, from OQMD via LeMat-Bulk.

Results
**Crystal system**: monoclinic
**Offset from the most stable computed form**: 3 kJ/mol of formula units

Unit cell a=7.350 b=7.592 c=6.658 alpha=90.00 beta=99.52 gamma=90.00
Element x y z (fractional)
Na 0.890 0.292 0.025
Na 0.110 0.792 0.475
Na 0.890 0.208 0.525
Na 0.110 0.708 0.975
O 0.588 0.348 0.107
O 0.412 0.848 0.393
O 0.588 0.152 0.607
O 0.412 0.652 0.893
Tb 0.533 0.624 0.218
Tb 0.467 0.124 0.282
Tb 0.533 0.876 0.718
Tb 0.467 0.376 0.782
Te 0.802 0.923 0.151
Te 0.198 0.423 0.349
Te 0.802 0.577 0.651
Te 0.198 0.077 0.849


(17)
The following is a PBE calculation of crystalline Na3TcO4 at its relaxed geometry, from OQMD via LeMat-Bulk.

Results
**Crystal system**: orthorhombic
**Offset from the most stable computed form**: 0 kJ/mol of formula units

Unit cell a=7.544 b=6.427 c=4.682 alpha=90.00 beta=90.00 gamma=90.00
Site moments in Bohr magnetons follow the coordinates.
Element x y z (fractional)
Na 0.000 0.671 0.057  0.01
Na 0.261 0.168 0.058  0.01
Na 0.739 0.168 0.058  0.01
Na 0.500 0.329 0.557  0.01
Na 0.239 0.832 0.558  0.01
Na 0.761 0.832 0.558  0.01
O 0.500 0.386 0.068  0.08
O 0.289 0.813 0.069  0.09
O 0.711 0.813 0.069  0.09
O 0.000 0.324 0.116  0.15
O 0.000 0.614 0.568  0.08
O 0.211 0.187 0.569  0.09
O 0.789 0.187 0.569  0.09
O 0.500 0.676 0.616  0.15
Tc 0.500 0.671 0.020  1.37
Tc 0.000 0.329 0.520  1.37


(18)
The following is a PBE calculation of crystalline Na5TcO6 at its relaxed geometry, from OQMD via LeMat-Bulk.

Results
**Crystal system**: monoclinic
**VASP energy**: -65.22 eV per cell

Unit cell a=5.561 b=5.561 c=5.518 alpha=100.23 beta=100.23 gamma=119.37
Element x y z (fractional)
Na 0.666 0.334 0.000
Na 0.334 0.666 0.000
Na 0.823 0.177 0.500
Na 0.500 0.500 0.500
Na 0.177 0.823 0.500
O 0.795 0.795 0.211
O 0.355 0.071 0.217
O 0.071 0.355 0.217
O 0.929 0.645 0.783
O 0.645 0.929 0.783
O 0.205 0.205 0.789
Tc 0.000 0.000 0.000


(19)
The following is a PBE calculation of crystalline Na3TcO4 at its relaxed geometry, from OQMD via LeMat-Bulk.

Results
**Crystal system**: cubic
**Offset from the most stable computed form**: 22 kJ/mol of formula units

Unit cell a=4.987 b=4.987 c=4.987 alpha=90.00 beta=90.00 gamma=90.00
Site moments in Bohr magnetons follow the coordinates.
Element x y z (fractional)
Na 0.500 0.500 0.000  0.00
Na 0.500 0.000 0.500  0.01
Na 0.000 0.500 0.500  0.01
O 0.215 0.215 0.215  0.11
O 0.785 0.785 0.215  0.11
O 0.785 0.215 0.785  0.11
O 0.215 0.785 0.785  0.11
Tc 0.000 0.000 0.000  1.35


In order of appearance, total magnetization = 0.00 2.00 0.00 0.00 0.58 0.00 0.01 2.00 2.00 0.00 4.00 2.00 4.00 0.00 0.00 0.02 4.00 0.00 2.00 Bohr magnetons per cell.